Ac3Si2Rh9: relaxed, GGA-PBE.

Structure (POSCAR):
```
Ac3Si2Rh9
1.0
6.289 0.000 0.000
-3.144 5.446 0.000
0.000 0.000 7.652
Rh Ac Si
9 3 2
direct
0.500 0.500 0.000
0.852 0.148 0.349
0.704 0.852 0.651
0.296 0.148 0.349
0.852 0.704 0.349
0.000 0.500 0.000
0.500 0.000 0.000
0.148 0.296 0.651
0.148 0.852 0.651
0.000 0.000 0.000
0.333 0.667 0.333
0.667 0.333 0.667
0.333 0.667 0.796
0.667 0.333 0.204
```

Computed properties:
DOS at the Fermi energy in states/eV per cell: 15.47
Raw formation energy in eV/atom: -0.661
Space-group type: No. 164



ZrCdTc2: relaxed, GGA-PBE.

Structure (POSCAR):
```
ZrCdTc2
1.0
4.120 0.000 0.000
0.000 4.120 0.000
0.000 0.000 4.083
Tc Cd Zr
2 1 1
direct
0.500 0.500 0.000
0.000 0.000 0.000
0.000 0.500 0.500
0.500 0.000 0.500
```

Computed properties:
DOS at the Fermi energy in states/eV per cell: 3.81
Calculated formation energy in eV per atom: 0.152
Space-group type: No. 123



LaTbMgRh: relaxed, GGA-PBE.

Structure (POSCAR):
```
LaTbMgRh
1.0
5.193 0.000 0.000
2.597 4.497 0.000
2.597 1.499 4.240
Mg La Rh Tb
1 1 1 1
direct
0.250 0.250 0.250
0.000 0.000 0.000
0.750 0.750 0.750
0.500 0.500 0.500
```

Computed properties:
DOS at the Fermi energy in states/eV per cell: 2.25
Calculated formation energy in eV per atom: -0.334
Space-group type: No. 216



- Look up the DOS at the Fermi energy of the second one.
  3.81 states/eV per cell



- What is the formula in the third record?
  LaTbMgRh